[1]
{"formula": "Mo4OsPt", "functional": "PBE", "state": "relaxed", "lattice": [[0.000, 3.630, 3.630], [3.630, 0.000, 3.630], [3.630, 3.630, 0.000]], "species": ["Mo", "Mo", "Mo", "Mo", "Os", "Pt"], "frac_coords": [[0.376, 0.376, 0.376], [0.376, 0.376, 0.872], [0.376, 0.872, 0.376], [0.872, 0.376, 0.376], [0.000, 0.000, 0.000], [0.750, 0.750, 0.750]], "final_energy_ev_per_fu": -59.065, "sg": "F-43m", "crystal_system": "cubic", "m_tot_mub_per_fu": 0.00, "dos_ef_per_ev_fu": 2.80, "formation_enthalpy_0k_kj_per_mol_atoms": 25, "rho_g_cm3": 13.35}

=====

[2]
{"formula": "Mn6AlB2", "functional": "PBE", "state": "relaxed", "lattice": [[-3.348, 3.538, 3.847], [3.348, -3.538, 3.847], [3.348, 3.538, -3.847]], "species": ["Mn", "Mn", "Mn", "Mn", "Mn", "Mn", "Mn", "Mn", "Mn", "Mn", "Mn", "Mn", "Al", "Al", "B", "B", "B", "B"], "frac_coords": [[0.029, 0.247, 0.782], [0.198, 0.292, 0.490], [0.198, 0.708, 0.906], [0.316, 0.017, 0.700], [0.316, 0.616, 0.300], [0.464, 0.247, 0.218], [0.536, 0.753, 0.782], [0.684, 0.384, 0.700], [0.684, 0.983, 0.300], [0.802, 0.292, 0.094], [0.802, 0.708, 0.510], [0.971, 0.753, 0.218], [0.000, 0.000, 0.000], [0.500, 0.500, 0.000], [0.113, 0.613, 0.500], [0.361, 0.000, 0.361], [0.639, 0.000, 0.639], [0.887, 0.387, 0.500]], "final_energy_ev_per_fu": -74.016, "sg": "Immm", "crystal_system": "orthorhombic", "m_tot_mub_per_fu": 7.24, "dos_ef_per_ev_fu": 8.77, "formation_enthalpy_0k_kj_per_mol_atoms": -20, "rho_g_cm3": 6.89}

=====

[3]
{"formula": "LiNpSb", "functional": "PBE", "state": "relaxed", "lattice": [[3.609, 0.000, 0.000], [0.000, 3.609, 0.000], [0.000, 0.000, 10.789]], "species": ["Li", "Li", "Np", "Np", "Sb", "Sb"], "frac_coords": [[0.000, 0.000, 0.000], [0.500, 0.500, 0.500], [0.000, 0.000, 0.299], [0.500, 0.500, 0.799], [0.000, 0.000, 0.613], [0.500, 0.500, 0.113]], "final_energy_ev_per_fu": -18.845, "sg": "I4mm", "crystal_system": "tetragonal", "relative_energy_mev_per_atom": 249, "m_tot_mub_per_fu": 5.48, "dos_ef_per_ev_fu": 7.80, "rho_g_cm3": 8.64}

=====

[4]
{"formula": "Mn3InGa", "functional": "PBE", "state": "relaxed", "lattice": [[5.045, 0.000, 0.000], [0.000, 5.045, 0.000], [0.000, 0.000, 5.045]], "species": ["Mn", "Mn", "Mn", "In", "Ga"], "frac_coords": [[0.000, 0.000, 0.500], [0.000, 0.500, 0.000], [0.500, 0.000, 0.000], [0.000, 0.000, 0.000], [0.500, 0.500, 0.500]], "final_energy_ev_per_fu": -27.437, "sg": "Pm-3m", "crystal_system": "cubic", "relative_energy_mev_per_atom": 523, "m_tot_mub_per_fu": 12.21, "dos_ef_per_ev_fu": 5.68, "formation_enthalpy_0k_kj_per_mol_atoms": 113, "rho_g_cm3": 4.52}

=====

[5]
{"formula": "MnCr2Se", "functional": "PBE", "state": "relaxed", "lattice": [[2.964, 0.000, 0.000], [0.000, 3.966, 0.000], [0.000, 0.000, 8.224]], "species": ["Mn", "Mn", "Cr", "Cr", "Cr", "Cr", "Se", "Se"], "frac_coords": [[0.000, 0.000, 0.000], [0.500, 0.500, 0.500], [0.000, 0.500, 0.241], [0.000, 0.500, 0.759], [0.500, 0.000, 0.259], [0.500, 0.000, 0.741], [0.000, 0.000, 0.500], [0.500, 0.500, 0.000]], "final_energy_ev_per_fu": -30.888, "sg": "Immm", "crystal_system": "orthorhombic", "m_tot_mub_per_fu": 0.00, "dos_ef_per_ev_fu": 3.98, "rho_g_cm3": 8.17}

=====

[6]
{"formula": "PuAg2I6", "functional": "PBE", "state": "relaxed", "lattice": [[3.871, 2.235, 7.379], [-3.871, 2.235, 7.379], [0.000, -4.469, 7.379]], "species": ["Pu", "Ag", "Ag", "I", "I", "I", "I", "I", "I"], "frac_coords": [[0.000, 0.000, 0.000], [0.263, 0.263, 0.263], [0.401, 0.401, 0.401], [0.067, 0.402, 0.778], [0.241, 0.900, 0.614], [0.402, 0.778, 0.067], [0.614, 0.241, 0.900], [0.778, 0.067, 0.402], [0.900, 0.614, 0.241]], "final_energy_ev_per_fu": -34.347, "sg": "R3", "crystal_system": "trigonal", "m_tot_mub_per_fu": 3.99, "dos_ef_per_ev_fu": 12.35, "rho_g_cm3": 5.30}